YMnOF2 | Alexandria | PBE+U | optimized geometry; electronic total energy = -7.001 eV/atom; energy relative to the lowest polymorph listed for this composition = 0 meV per atom
1.0
4.452 0.000 0.000
0.000 4.452 0.000
0.000 0.000 4.413
Y Mn O F
1 1 1 2
Direct
0.000 0.000 0.000
0.500 0.500 0.500
0.000 0.000 0.500
0.000 0.500 0.000
0.500 0.000 0.000